Entry 1:
TaGeTe2Br | PBE | optimized geometry

**Crystal system**: tetragonal
**Volume**: 156.1 Å³/cell
**E_form (uncorrected)**: 1418.1 meV/atom
**Raw total energy**: -3.4671 eV/atom

Lattice parameters (Å, degrees): 5.7535 5.7535 4.7158 90.00 90.00 90.00
Closest atoms and distances in Å follow each position.
Space group P4/mmm (No. 123)
Asymmetric unit:
Ta 0.0000 0.0000 0.0000 (multiplicity 1)  2 Br 2.36
Ge 0.5000 0.5000 0.0000 (multiplicity 1)  8 Te 3.72, 4 Ta 4.07
Te 0.0000 0.5000 0.5000 (multiplicity 2)  2 Br 2.88
Br 0.0000 0.0000 0.5000 (multiplicity 1)  2 Ta 2.36



Entry 2:
NaLiCa2Hg | PBE | optimized geometry

**Energy of formation from the pure elements**: -72 meV/atom
**Crystal system**: tetragonal
**Volume**: 184.0 Å³/cell
**Raw total energy**: -1.5793 eV/atom

Lattice parameters (Å, degrees): 5.9827 5.9827 5.1404 90.00 90.00 90.00
Closest atoms and distances in Å follow each position.
Space group P4/mmm (No. 123)
Asymmetric unit:
Na 0.0000 0.0000 0.0000 (multiplicity 1)  8 Ca 3.94, 4 Li 4.23
Li 0.5000 0.5000 0.0000 (multiplicity 1)  2 Hg 2.57
Ca 0.0000 0.5000 0.5000 (multiplicity 2)  2 Hg 2.99
Hg 0.5000 0.5000 0.5000 (multiplicity 1)  2 Li 2.57



Entry 3:
CaTcBr2 | PBE | optimized geometry

**Crystal system**: tetragonal
**Volume**: 201.3 Å³/cell
**E_form (uncorrected)**: -18.4 meV/atom
**Raw total energy**: -3.9467 eV/atom
**Energy above the lowest structure with this stoichiometry**: 344.8 meV/atom

Lattice parameters (Å, degrees): 4.0543 4.0543 12.2473 90.00 90.00 90.00
Closest atoms and distances in Å follow each position.
Space group I-4m2 (No. 119)
Asymmetric unit:
Ca 0.0000 0.0000 0.0000 (multiplicity 2)  4 Br 2.87
Tc 0.0000 0.5000 0.7500 (multiplicity 2)  4 Br 2.87
Br 0.0000 0.0000 0.5000 (multiplicity 2)  4 Ca 2.87
Br 0.0000 0.5000 0.2500 (multiplicity 2)  4 Tc 2.87